1.
# BaAc2Pb

A relaxed BaAc2Pb crystal (GGA-PBE, Alexandria).

Summary:
relative energy among the computed polymorphs = 0.0000 eV per atom
SG = P4/mmm, No. 123
ΔH_f (0 K) = -190 meV per atom
density of states at the Fermi level = 6.27 states/eV/cell
final energy = -14.61 eV/cell

```
4
Lattice="5.311 0.000 0.000 0.000 5.497 0.000 0.000 0.000 5.497" Properties=species:S:1:pos:R:3 pbc="T T T"
Pb 2.656 0.000 0.000
Ac 0.000 0.000 2.749
Ac 0.000 2.749 0.000
Ba 2.656 2.749 2.749
```

=====

2.
# BaAc2Pb2

A relaxed BaAc2Pb2 crystal (GGA-PBE, Alexandria).

Summary:
relative energy among the computed polymorphs = 0.1261 eV per atom
SG = C2/m, No. 12
ΔH_f (0 K) = -328 meV per atom
density of states at the Fermi level = 4.99 states/eV/cell
final energy = -19.20 eV/cell

```
5
Lattice="-3.026 -0.627 4.397 -4.404 -0.302 -3.066 4.573 -6.911 -1.145" Properties=species:S:1:pos:R:3 pbc="T T T"
Ba 0.000 0.000 0.000
Ac -1.773 -3.839 -1.774
Ac -1.084 -4.001 1.960
Pb -3.527 -1.990 0.564
Pb 0.670 -5.849 -0.378
```

=====

3.
# BaAc2Pb3

A relaxed BaAc2Pb3 crystal (GGA-PBE, Alexandria).

Summary:
relative energy among the computed polymorphs = 0.1223 eV per atom
SG = Imma, No. 74
ΔH_f (0 K) = -360 meV per atom
density of states at the Fermi level = 8.25 states/eV/cell
final energy = -46.85 eV/cell

```
12
Lattice="7.295 0.000 0.000 0.000 10.820 0.000 -3.647 -5.410 6.396" Properties=species:S:1:pos:R:3 pbc="T T T"
Ba 1.830 0.000 3.198
Ba 1.817 5.410 3.198
Ac -1.825 5.410 5.321
Ac -1.822 0.000 5.321
Ac 5.469 5.410 1.075
Ac 5.473 0.000 1.075
Pb 0.000 8.114 0.000
Pb 0.000 2.706 0.000
Pb 3.647 8.116 0.000
Pb -1.824 -2.705 3.198
Pb -1.824 2.705 3.198
Pb 3.647 2.704 0.000
```

=====

4.
# BaAc4Pb5

A relaxed BaAc4Pb5 crystal (GGA-PBE, Alexandria).

Summary:
SG = P4/mmm, No. 123
ΔH_f (0 K) = -500 meV per atom
density of states at the Fermi level = 7.29 states/eV/cell
final energy = -41.90 eV/cell

```
10
Lattice="3.893 0.000 0.000 0.000 3.893 0.000 0.000 0.000 23.879" Properties=species:S:1:pos:R:3 pbc="T T T"
Ba 0.000 0.000 0.000
Ac 0.000 0.000 4.862
Ac 0.000 0.000 9.592
Ac 0.000 0.000 14.287
Ac 0.000 0.000 19.016
Pb 1.946 1.946 2.525
Pb 1.946 1.946 7.233
Pb 1.946 1.946 11.939
Pb 1.946 1.946 16.645
Pb 1.946 1.946 21.354
```

=====

5.
# BaAc2Pb

A relaxed BaAc2Pb crystal (GGA-PBE, Alexandria).

Summary:
relative energy among the computed polymorphs = 0.2438 eV per atom
SG = R-3m, No. 166
ΔH_f (0 K) = 54 meV per atom
density of states at the Fermi level = 5.86 states/eV/cell
final energy = -13.63 eV/cell

```
4
Lattice="4.558 0.000 0.000 2.279 3.947 0.000 2.279 1.316 12.093" Properties=species:S:1:pos:R:3 pbc="T T T"
Pb 4.558 2.631 6.046
Ac 2.279 1.316 8.042
Ac 6.836 3.947 4.051
Ba 0.000 0.000 0.000
```

=====

6.
# BaAcPb4

A relaxed BaAcPb4 crystal (GGA-PBE, Alexandria).

Summary:
relative energy among the computed polymorphs = 0.0000 eV per atom
SG = Cmcm, No. 63
ΔH_f (0 K) = -418 meV per atom
density of states at the Fermi level = 7.00 states/eV/cell
final energy = -46.74 eV/cell

```
12
Lattice="-2.250 1.134 4.335 5.145 -3.466 3.577 7.616 9.758 -1.499" Properties=species:S:1:pos:R:3 pbc="T T T"
Ba 3.121 4.409 3.367
Ba 7.390 3.017 3.047
Ac 6.845 7.976 1.467
Ac 3.666 -0.549 4.947
Pb 0.000 0.000 0.000
Pb 2.573 -1.733 1.789
Pb 1.930 2.942 0.232
Pb 6.121 6.141 4.471
Pb 4.390 1.285 1.942
Pb 8.581 4.484 6.181
Pb 1.157 1.285 3.164
Pb 9.354 6.141 3.249
```

=====

7.
# BaAc2Pb

A relaxed BaAc2Pb crystal (GGA-PBE, Alexandria).

Summary:
relative energy among the computed polymorphs = 0.0209 eV per atom
SG = P4/mmm, No. 123
ΔH_f (0 K) = -169 meV per atom
density of states at the Fermi level = 4.19 states/eV/cell
final energy = -14.52 eV/cell

```
4
Lattice="4.507 0.000 0.000 0.000 4.507 0.000 0.000 0.000 8.248" Properties=species:S:1:pos:R:3 pbc="T T T"
Pb 2.254 2.254 0.000
Ac 0.000 0.000 6.527
Ac 0.000 0.000 1.722
Ba 2.254 2.254 4.124
```

=====

8.
# Ba5AcPb6

A relaxed Ba5AcPb6 crystal (GGA-PBE, Alexandria).

Summary:
SG = C2/m, No. 12
ΔH_f (0 K) = -527 meV per atom
density of states at the Fermi level = 4.92 states/eV/cell
final energy = -42.30 eV/cell

```
12
Lattice="-5.807 -2.542 0.622 2.254 -6.207 -4.317 2.714 -7.991 5.703" Properties=species:S:1:pos:R:3 pbc="T T T"
Pb -2.403 -8.388 -0.418
Pb -3.656 -4.929 1.984
Pb -1.145 -6.121 -3.060
Pb 0.305 -10.620 5.069
Pb 2.817 -11.812 0.025
Pb 1.564 -8.353 2.427
Ac 0.000 0.000 0.000
Ba -1.974 -8.011 3.280
Ba -0.236 -5.506 0.585
Ba 1.127 -3.104 -2.158
Ba -0.603 -11.235 1.424
Ba 1.134 -8.731 -1.271
```

=====

Question: The lowest ΔH_f (0 K) belongs to which entry?
Answer: Ba5AcPb6

=====

Question: Look up the density of states at the Fermi level of the fourth one.
Answer: 7.29 states/eV/cell